(1)
VASP calculation (PBE-GGA) on K2ErPu3O12 after structural relaxation.

abc: 7.733 7.733 7.733
angles: 62.22 62.22 62.22
Positions (direct):
K1 0.169 0.169 0.169
K2 0.831 0.831 0.831
Er1 0.500 0.500 0.500
Pu1 0.000 0.500 0.500
Pu2 0.500 0.000 0.500
Pu3 0.500 0.500 0.000
O1 0.163 0.571 0.571
O2 0.191 0.191 0.555
O3 0.191 0.555 0.191
O4 0.429 0.429 0.837
O5 0.429 0.837 0.429
O6 0.445 0.809 0.809
O7 0.555 0.191 0.191
O8 0.571 0.163 0.571
O9 0.571 0.571 0.163
O10 0.809 0.445 0.809
O11 0.809 0.809 0.445
O12 0.837 0.429 0.429

Computed properties:
ΔE_f (raw) ... -2541 meV/atom

(2)
VASP calculation (PBE-GGA) on KBa3Na after structural relaxation.

abc: 7.203 7.203 7.203
angles: 90.00 90.00 90.00
Positions (direct):
K1 0.000 0.000 0.000
Ba1 0.000 0.000 0.500
Ba2 0.000 0.500 0.000
Ba3 0.500 0.000 0.000
Na1 0.500 0.500 0.500

Computed properties:
Polymorph energy (0 for the lowest one) ... 308 meV per atom
ΔE_f ... 0.540 eV/atom